Record 1
! Mg2ZnCd, single point on PBEsol structure, DFT meta-GGA SCAN; values from VASP
! Total magnetic moment (μB/atom): 0.000
! Polymorph energy (0 for the lowest one) (meV/atom): 23
&SYSTEM
  ibrav = 0, nat = 4, ntyp = 3
/
ATOMIC_SPECIES
Mg 24.30 Mg.upf
Zn 65.41 Zn.upf
Cd 112.41 Cd.upf
CELL_PARAMETERS angstrom
-2.206 2.206 3.925
2.206 -2.206 3.925
2.206 2.206 -3.925
ATOMIC_POSITIONS crystal
Mg 0.250 0.750 0.500
Mg 0.750 0.250 0.500
Zn 0.000 0.000 0.000
Cd 0.500 0.500 0.000



Record 2
! Mg2ZnCd, single point on PBEsol structure, DFT meta-GGA SCAN; values from VASP
! Total magnetic moment (μB/atom): 0.000
! Polymorph energy (0 for the lowest one) (meV/atom): 19
&SYSTEM
  ibrav = 0, nat = 4, ntyp = 3
/
ATOMIC_SPECIES
Mg 24.30 Mg.upf
Zn 65.41 Zn.upf
Cd 112.41 Cd.upf
CELL_PARAMETERS angstrom
3.167 0.000 0.000
0.000 4.529 0.000
-1.443 0.000 5.404
ATOMIC_POSITIONS crystal
Mg 0.000 0.000 0.000
Mg 0.316 0.500 0.663
Zn 0.584 0.500 0.180
Cd 0.722 0.000 0.466



Record 3
! MgZnCd3, single point on PBEsol structure, DFT meta-GGA SCAN; values from VASP
! Total magnetic moment (μB/atom): 0.000
! E_tot (eV/cell): -108.3
&SYSTEM
  ibrav = 0, nat = 5, ntyp = 3
/
ATOMIC_SPECIES
Mg 24.30 Mg.upf
Zn 65.41 Zn.upf
Cd 112.41 Cd.upf
CELL_PARAMETERS angstrom
4.988 0.000 0.000
0.000 4.988 0.000
0.000 0.000 4.988
ATOMIC_POSITIONS crystal
Mg 0.000 0.000 0.000
Zn 0.500 0.500 0.500
Cd 0.000 0.500 0.500
Cd 0.500 0.000 0.500
Cd 0.500 0.500 0.000



Record 4
! MgZrCd, single point on PBEsol structure, DFT meta-GGA SCAN; values from VASP
! Total magnetic moment (μB/atom): 0.000
! E_tot (eV/cell): -65.7
&SYSTEM
  ibrav = 0, nat = 3, ntyp = 3
/
ATOMIC_SPECIES
Mg 24.30 Mg.upf
Zr 91.22 Zr.upf
Cd 112.41 Cd.upf
CELL_PARAMETERS angstrom
0.000 3.286 3.286
3.286 0.000 3.286
3.286 3.286 0.000
ATOMIC_POSITIONS crystal
Mg 0.000 0.000 0.000
Zr 0.500 0.500 0.500
Cd 0.750 0.750 0.750



Record 5
! MgZrCd, single point on PBEsol structure, DFT meta-GGA SCAN; values from VASP
! Total magnetic moment (μB/atom): 0.000
! E_tot (eV/cell): -133.1
&SYSTEM
  ibrav = 0, nat = 6, ntyp = 3
/
ATOMIC_SPECIES
Mg 24.30 Mg.upf
Zr 91.22 Zr.upf
Cd 112.41 Cd.upf
CELL_PARAMETERS angstrom
3.145 0.000 0.000
0.000 3.145 0.000
0.000 0.000 12.850
ATOMIC_POSITIONS crystal
Mg 0.250 0.250 0.087
Mg 0.750 0.750 0.913
Zr 0.250 0.250 0.413
Zr 0.750 0.750 0.587
Cd 0.250 0.250 0.757
Cd 0.750 0.750 0.243



Record 6
! MgZrCd, single point on PBEsol structure, DFT meta-GGA SCAN; values from VASP
! Total magnetic moment (μB/atom): 0.006
! E_tot (eV/cell): -66.4
&SYSTEM
  ibrav = 0, nat = 3, ntyp = 3
/
ATOMIC_SPECIES
Mg 24.30 Mg.upf
Zr 91.22 Zr.upf
Cd 112.41 Cd.upf
CELL_PARAMETERS angstrom
4.821 0.000 0.000
-2.411 4.175 0.000
0.000 0.000 3.101
ATOMIC_POSITIONS crystal
Mg 0.000 0.000 0.000
Zr 0.333 0.667 0.500
Cd 0.667 0.333 0.000



Record 7
! MgZrCd, single point on PBEsol structure, DFT meta-GGA SCAN; values from VASP
! Total magnetic moment (μB/atom): 0.171
! E_tot (eV/cell): -66.5
&SYSTEM
  ibrav = 0, nat = 3, ntyp = 3
/
ATOMIC_SPECIES
Mg 24.30 Mg.upf
Zr 91.22 Zr.upf
Cd 112.41 Cd.upf
CELL_PARAMETERS angstrom
-1.557 1.557 6.443
1.557 -1.557 6.443
1.557 1.557 -6.443
ATOMIC_POSITIONS crystal
Mg 0.000 0.000 0.000
Zr 0.675 0.675 0.000
Cd 0.341 0.341 0.000



Record 8
! Mn3Cd, single point on PBEsol structure, DFT meta-GGA SCAN; values from VASP
! Total magnetic moment (μB/atom): 0.904
! E_tot (eV/cell): -84.9
&SYSTEM
  ibrav = 0, nat = 4, ntyp = 2
/
ATOMIC_SPECIES
Mn 54.94 Mn.upf
Cd 112.41 Cd.upf
CELL_PARAMETERS angstrom
2.672 0.000 0.000
0.000 4.377 0.000
0.000 0.000 4.736
ATOMIC_POSITIONS crystal
Mn 0.000 0.000 0.000
Mn 0.000 0.500 0.313
Mn 0.500 0.500 0.868
Cd 0.500 0.000 0.507



Record 9
! Mn3Cd, single point on PBEsol structure, DFT meta-GGA SCAN; values from VASP
! Total magnetic moment (μB/atom): 0.987
! E_tot (eV/cell): -85.5
&SYSTEM
  ibrav = 0, nat = 4, ntyp = 2
/
ATOMIC_SPECIES
Mn 54.94 Mn.upf
Cd 112.41 Cd.upf
CELL_PARAMETERS angstrom
0.000 3.072 3.072
3.072 0.000 3.072
3.072 3.072 0.000
ATOMIC_POSITIONS crystal
Mn 0.000 0.000 0.000
Mn 0.250 0.250 0.250
Mn 0.750 0.750 0.750
Cd 0.500 0.500 0.500



Record 10
! MnCd3Mo, single point on PBEsol structure, DFT meta-GGA SCAN; values from VASP
! Total magnetic moment (μB/atom): 0.580
! E_tot (eV/cell): -138.1
&SYSTEM
  ibrav = 0, nat = 5, ntyp = 3
/
ATOMIC_SPECIES
Mn 54.94 Mn.upf
Cd 112.41 Cd.upf
Mo 95.94 Mo.upf
CELL_PARAMETERS angstrom
5.141 0.000 0.000
0.000 5.141 0.000
0.000 0.000 5.141
ATOMIC_POSITIONS crystal
Mn 0.000 0.000 0.000
Cd 0.000 0.500 0.500
Cd 0.500 0.000 0.500
Cd 0.500 0.500 0.000
Mo 0.500 0.500 0.500



Record 11
! MnCdMo3, single point on PBEsol structure, DFT meta-GGA SCAN; values from VASP
! Total magnetic moment (μB/atom): 0.000
! E_tot (eV/cell): -147.9
&SYSTEM
  ibrav = 0, nat = 5, ntyp = 3
/
ATOMIC_SPECIES
Mn 54.94 Mn.upf
Cd 112.41 Cd.upf
Mo 95.94 Mo.upf
CELL_PARAMETERS angstrom
4.434 0.000 0.000
0.000 4.434 0.000
0.000 0.000 4.434
ATOMIC_POSITIONS crystal
Mn 0.000 0.000 0.000
Cd 0.500 0.500 0.500
Mo 0.000 0.000 0.500
Mo 0.000 0.500 0.000
Mo 0.500 0.000 0.000



Record 12
! MnCd2Mo, single point on PBEsol structure, DFT meta-GGA SCAN; values from VASP
! Total magnetic moment (μB/atom): 0.771
! Polymorph energy (0 for the lowest one) (meV/atom): 46
&SYSTEM
  ibrav = 0, nat = 4, ntyp = 3
/
ATOMIC_SPECIES
Mn 54.94 Mn.upf
Cd 112.41 Cd.upf
Mo 95.94 Mo.upf
CELL_PARAMETERS angstrom
4.575 -1.389 0.000
4.575 1.389 0.000
-0.703 0.000 5.225
ATOMIC_POSITIONS crystal
Mn 0.000 0.000 0.000
Cd 0.505 0.505 0.535
Cd 0.749 0.749 0.290
Mo 0.258 0.258 0.818



Record 13
! MnCd2Mo, single point on PBEsol structure, DFT meta-GGA SCAN; values from VASP
! Total magnetic moment (μB/atom): 0.778
! Polymorph energy (0 for the lowest one) (meV/atom): 28
&SYSTEM
  ibrav = 0, nat = 4, ntyp = 3
/
ATOMIC_SPECIES
Mn 54.94 Mn.upf
Cd 112.41 Cd.upf
Mo 95.94 Mo.upf
CELL_PARAMETERS angstrom
2.761 0.000 0.000
0.000 4.291 0.000
0.000 0.000 5.613
ATOMIC_POSITIONS crystal
Mn 0.000 0.000 0.000
Cd 0.500 0.500 0.246
Cd 0.500 0.500 0.754
Mo 0.000 0.000 0.500



Record 14
! MnCd2Mo, single point on PBEsol structure, DFT meta-GGA SCAN; values from VASP
! Total magnetic moment (μB/atom): 0.622
! Polymorph energy (0 for the lowest one) (meV/atom): 86
&SYSTEM
  ibrav = 0, nat = 4, ntyp = 3
/
ATOMIC_SPECIES
Mn 54.94 Mn.upf
Cd 112.41 Cd.upf
Mo 95.94 Mo.upf
CELL_PARAMETERS angstrom
-1.951 1.951 4.359
1.951 -1.951 4.359
1.951 1.951 -4.359
ATOMIC_POSITIONS crystal
Mn 0.000 0.000 0.000
Cd 0.250 0.750 0.500
Cd 0.750 0.250 0.500
Mo 0.500 0.500 0.000



Record 15
! MnCd2Mo, single point on PBEsol structure, DFT meta-GGA SCAN; values from VASP
! Total magnetic moment (μB/atom): 0.694
! Polymorph energy (0 for the lowest one) (meV/atom): 74
&SYSTEM
  ibrav = 0, nat = 4, ntyp = 3
/
ATOMIC_SPECIES
Mn 54.94 Mn.upf
Cd 112.41 Cd.upf
Mo 95.94 Mo.upf
CELL_PARAMETERS angstrom
-1.524 2.269 4.792
1.524 -2.269 4.792
1.524 2.269 -4.792
ATOMIC_POSITIONS crystal
Mn 0.000 0.000 0.000
Cd 0.238 0.738 0.500
Cd 0.762 0.262 0.500
Mo 0.500 0.500 0.000



Record 16
! MnCd2Mo, single point on PBEsol structure, DFT meta-GGA SCAN; values from VASP
! Total magnetic moment (μB/atom): 0.963
! Polymorph energy (0 for the lowest one) (meV/atom): 0
&SYSTEM
  ibrav = 0, nat = 4, ntyp = 3
/
ATOMIC_SPECIES
Mn 54.94 Mn.upf
Cd 112.41 Cd.upf
Mo 95.94 Mo.upf
CELL_PARAMETERS angstrom
2.821 -4.323 0.000
2.821 4.323 0.000
0.000 0.000 2.752
ATOMIC_POSITIONS crystal
Mn 0.000 0.000 0.000
Cd 0.000 0.500 0.500
Cd 0.500 0.000 0.500
Mo 0.500 0.500 0.000



Record 17
! Mn3CdMo, single point on PBEsol structure, DFT meta-GGA SCAN; values from VASP
! Total magnetic moment (μB/atom): 1.781
! E_tot (eV/cell): -114.8
&SYSTEM
  ibrav = 0, nat = 5, ntyp = 3
/
ATOMIC_SPECIES
Mn 54.94 Mn.upf
Cd 112.41 Cd.upf
Mo 95.94 Mo.upf
CELL_PARAMETERS angstrom
4.484 0.000 0.000
0.000 4.484 0.000
0.000 0.000 4.484
ATOMIC_POSITIONS crystal
Mn 0.000 0.000 0.500
Mn 0.000 0.500 0.000
Mn 0.500 0.000 0.000
Cd 0.500 0.500 0.500
Mo 0.000 0.000 0.000



Record 18
! MnCd2Mo, single point on PBEsol structure, DFT meta-GGA SCAN; values from VASP
! Total magnetic moment (μB/atom): 0.388
! Polymorph energy (0 for the lowest one) (meV/atom): 122
&SYSTEM
  ibrav = 0, nat = 4, ntyp = 3
/
ATOMIC_SPECIES
Mn 54.94 Mn.upf
Cd 112.41 Cd.upf
Mo 95.94 Mo.upf
CELL_PARAMETERS angstrom
0.000 3.242 3.242
3.242 0.000 3.242
3.242 3.242 0.000
ATOMIC_POSITIONS crystal
Mn 0.000 0.000 0.000
Cd 0.250 0.250 0.250
Cd 0.750 0.750 0.750
Mo 0.500 0.500 0.500



Record 19
! MnCdReN2, single point on PBEsol structure, DFT meta-GGA SCAN; values from VASP
! Total magnetic moment (μB/atom): 0.000
! Formation energy (no corrections) (kJ/mol of formula units): 691
&SYSTEM
  ibrav = 0, nat = 5, ntyp = 4
/
ATOMIC_SPECIES
Mn 54.94 Mn.upf
Cd 112.41 Cd.upf
Re 186.21 Re.upf
N 14.01 N.upf
CELL_PARAMETERS angstrom
3.701 0.000 0.000
0.000 3.701 0.000
0.000 0.000 4.756
ATOMIC_POSITIONS crystal
Mn 0.000 0.000 0.000
Cd 0.500 0.500 0.500
Re 0.000 0.000 0.500
N 0.000 0.500 0.000
N 0.500 0.000 0.000



Record 20
! NaMn2CdSe, single point on PBEsol structure, DFT meta-GGA SCAN; values from VASP
! Total magnetic moment (μB/atom): 1.796
! Formation energy (no corrections) (kJ/mol of formula units): 503
&SYSTEM
  ibrav = 0, nat = 5, ntyp = 4
/
ATOMIC_SPECIES
Na 22.99 Na.upf
Mn 54.94 Mn.upf
Cd 112.41 Cd.upf
Se 78.96 Se.upf
CELL_PARAMETERS angstrom
4.862 0.000 0.000
0.000 4.862 0.000
0.000 0.000 4.914
ATOMIC_POSITIONS crystal
Na 0.000 0.000 0.000
Mn 0.000 0.500 0.000
Mn 0.500 0.000 0.000
Cd 0.000 0.000 0.500
Se 0.500 0.500 0.500